Density functional theory data (PBE-GGA) for an optimized crystal structure of Ac8Hg4Ir3Pt.

Calculated values
The energy relative to the elements comes out at -11.0 eV per formula unit. The calculation puts the raw total energy at -77.74 eV per formula unit.

Cell lengths 8.704, 8.752, 9.597 Å; angles 63.14, 63.04, 60.19 degrees
Space group P-1 (No. 2)
Symmetry-distinct sites (fractional):
Ac 0.229 0.237 0.297
Ac 0.234 0.733 0.299
Ac 0.261 0.273 0.702
Ac 0.262 0.763 0.702
Hg 0.000 0.000 0.000
Hg 0.000 0.500 0.000
Hg 0.500 0.000 0.000
Hg 0.500 0.500 0.000
Ir 0.000 0.000 0.500
Ir 0.000 0.500 0.500
Ir 0.500 0.500 0.500
Pt 0.500 0.000 0.500



Density functional theory data (PBE-GGA) for an optimized crystal structure of Ac3HgIrPt.

Calculated values
The energy relative to the elements comes out at -4.4 eV per formula unit. The calculation puts the raw total energy at -31.98 eV per formula unit.

Cell lengths 9.660, 4.390, 9.751 Å; angles 90.00, 108.40, 90.00 degrees
Space group P2_1/m (No. 11)
Symmetry-distinct sites (fractional):
Ac 0.002 0.250 0.270
Ac 0.304 0.750 0.122
Ac 0.357 0.750 0.561
Hg 0.308 0.250 0.825
Ir 0.322 0.250 0.340
Pt 0.074 0.250 0.960